VASP calculation (PBE-GGA) on a relaxed structure of Ac2PuIr9.

abc: 5.4066 5.4066 27.1176
angles: 90.00 90.00 120.00
With the nearest neighbours (Å) after each atom.
Space group R-3m (No. 166, hexagonal axes)
One atom of each set of equivalent atoms:
Ac 0.0000 0.0000 0.1393 [6 per cell]  12 Ir 3.17-3.51, 3 Ac 3.46
Pu 0.0000 0.0000 0.0000 [3 per cell]  18 Ir 3.12-3.44
Ir 0.0000 0.0000 0.3321 [6 per cell]  6 Ir 2.62-2.65
Ir 0.0000 0.0000 0.5000 [3 per cell]  6 Ir 2.85
Ir 0.0040 0.5020 0.0783 [18 per cell]  7 Ir 2.62-2.85

Computed properties:
Density of states at the Fermi level, states/eV/f.u.: 18.1
Volume, A^3/atom: 19.07
Energy relative to the elements, eV per atom: -0.377
Total moment, μB/f.u.: 4.4

VASP calculation (PBE-GGA) on a relaxed structure of Y6Er5Sc2.

abc: 10.5626 22.1112 3.4885
angles: 90.00 90.00 90.00
With the nearest neighbours (Å) after each atom.
Space group Pbam (No. 55)
One atom of each set of equivalent atoms:
Y 0.0360 0.1115 0.0000 [4 per cell]  1 Sc 3.32, 4 Y 3.49-3.66, 6 Er 3.50-3.54
Y 0.1350 0.3839 0.0000 [4 per cell]  1 Sc 3.24, 6 Er 3.42-3.59, 2 Y 3.49
Y 0.1658 0.6405 0.5000 [4 per cell]  2 Sc 3.41, 6 Y 3.49-3.66, 4 Er 3.55-3.79
Er 0.0000 0.5000 0.5000 [2 per cell]  6 Y 3.42-3.57, 4 Er 3.49-3.54
Er 0.0857 0.2488 0.5000 [4 per cell]  4 Sc 3.20-3.21, 2 Er 3.49, 5 Y 3.50-3.55
Er 0.1659 0.9889 0.5000 [4 per cell]  4 Er 3.49-3.54, 7 Y 3.50-3.79
Sc 0.1645 0.7731 0.0000 [4 per cell]  4 Er 3.20-3.21, 4 Y 3.24-3.41, 2 Sc 3.49

Computed properties:
Density of states at the Fermi level, states/eV/f.u.: 21.7
Volume, A^3/atom: 31.34
Energy relative to the elements, eV per atom: 0.146
Total moment, μB/f.u.: 0.0

VASP calculation (PBE-GGA) on a relaxed structure of Cs2CdPtN.

abc: 6.7864 6.7864 3.7541
angles: 90.00 90.00 90.00
With the nearest neighbours (Å) after each atom.
Space group P4/mmm (No. 123)
One atom of each set of equivalent atoms:
Cs 0.0000 0.5000 0.0000 [2 per cell]  2 N 3.39, 2 Cs 3.75
Cd 0.0000 0.0000 0.5000 [1 per cell]  2 Cd 3.75, 8 Cs 3.88
Pt 0.5000 0.5000 0.5000 [1 per cell]  2 N 1.88
N 0.5000 0.5000 0.0000 [1 per cell]  2 Pt 1.88

Computed properties:
Density of states at the Fermi level, states/eV/f.u.: 2.8
Formation energy without anion corrections, meV/atom: -52
Volume, A^3/atom: 34.58
Total moment, μB/f.u.: 0.0

VASP calculation (PBE-GGA) on a relaxed structure of Sm3Ag.

abc: 3.4923 3.5882 10.0520
angles: 90.00 90.00 90.00
With the nearest neighbours (Å) after each atom.
Space group Pmm2 (No. 25)
One atom of each set of equivalent atoms:
Sm 0.0000 0.0000 0.0000 [1 per cell]  10 Sm 3.49-3.59
Sm 0.0000 0.5000 0.3078 [1 per cell]  4 Ag 3.11
Sm 0.5000 0.5000 0.7440 [1 per cell]  2 Ag 3.11
Ag 0.5000 0.0000 0.4914 [1 per cell]  6 Sm 3.11

Computed properties:
Density of states at the Fermi level, states/eV/f.u.: 5.4
Energy relative to the lowest polymorph listed for this composition, eV per atom: 0.198
Volume, A^3/atom: 31.49
Energy relative to the elements, eV per atom: 0.105
Total moment, μB/f.u.: 0.2

| no. | DFT total energy (eV per atom) |
| --- | --- |
| 1 | -8.90 |
| 2 | -5.57 |
| 3 | -3.45 |
| 4 | -4.15 |